Below is ZrAl2Ag after structural relaxation, with properties calculated at the PBE level.

```
ZrAl2Ag
1.0
-1.539 3.904 -3.085
2.416 -3.578 -2.913
-2.525 -1.345 -0.443
Zr Ag Al
1 1 2
Cartesian
-2.032 1.279 -1.764
-0.054 -2.461 -1.678
0.000 0.000 0.000
0.439 0.163 -2.999
```

## Properties
Symmetry: Cmmm, No. 65
Size of the total moment in μB/f.u.: 0.00
Offset from the most stable computed form in meV/atom: 159
Crystal system: orthorhombic
N(E_F) in states/eV per cell: 2.17
Energy in eV per atom: -4.931
Formation enthalpy at 0 K in eV per atom: -0.210
Calculated volume in Å³ per cell: 74.4